Below is Cr2CoHgO after structural relaxation, with properties calculated at the PBE with a Hubbard U level.

abc: 5.390 5.390 4.121
angles: 90.00 90.00 90.00
Fractional positions:
Cr 0.000 0.500 0.000
Cr 0.500 0.000 0.000
Co 0.000 0.000 0.500
Hg 0.500 0.500 0.000
O 0.500 0.500 0.500

Output
VASP energy in eV/atom: -3.72
V in Å³/atom: 23.95
M_tot in μB/cell: 10.05